[1]
Ba12LiAg6 | PBE | optimized geometry

Cell: 12.0108 12.0108 12.0108 Å, 90.00 90.00 90.00°
Space group Im-3 (No. 204)
One atom of each set of equivalent atoms:
1 Ba 0.0000 0.1840 0.3044 [24 per cell]
2 Li 0.0000 0.0000 0.0000 [2 per cell]
3 Ag 0.0000 0.3810 0.5000 [12 per cell]

## Properties
- electronic total energy (eV for the cell shown) = -90.05
- formation energy from the elements (eV/f.u.) = -2.93
- Fermi-level density of states (states/eV per cell) = 39.2

=====

[2]
BaZn2Rh | PBE | optimized geometry

Cell: 4.4965 4.4965 8.6060 Å, 90.00 90.00 90.00°
Space group I4/mmm (No. 139)
One atom of each set of equivalent atoms:
1 Ba 0.0000 0.0000 0.0000 [2 per cell]
2 Zn 0.0000 0.5000 0.2500 [4 per cell]
3 Rh 0.0000 0.0000 0.5000 [2 per cell]

## Properties
- electronic total energy (eV for the cell shown) = -23.02
- formation energy from the elements (eV/f.u.) = 0.31
- Fermi-level density of states (states/eV per cell) = 4.5

=====

[3]
Sm3YHg2 | PBE | optimized geometry

Cell: 7.2115 14.7738 7.5735 Å, 90.00 90.00 90.00°
Space group Ibam (No. 72)
One atom of each set of equivalent atoms:
1 Sm 0.0000 0.0000 0.2500 [4 per cell]
2 Sm 0.0000 0.2722 0.2500 [8 per cell]
3 Y 0.0000 0.5000 0.0000 [4 per cell]
4 Hg 0.2010 0.1383 0.0000 [8 per cell]

## Properties
- electronic total energy (eV for the cell shown) = -87.02
- formation energy from the elements (eV/f.u.) = -0.53
- Fermi-level density of states (states/eV per cell) = 29.8

=====

| no. | V (Å³/atom) |
| --- | --- |
| 1 | 45.6 |
| 2 | 21.8 |
| 3 | 33.6 |